Computed, not measured: a relaxed ErPaAsO crystal at the GGA-PBE level of DFT.

Unit cell a=4.197 b=4.197 c=9.097 alpha=90.00 beta=90.00 gamma=90.00
Each line ends with the local moment (μB).
Sites, in units of the cell vectors:
O1 0.500 0.500 0.000  -0.02
O2 0.000 0.000 0.000  -0.02
As1 0.000 0.500 0.280  -0.01
As2 0.500 0.000 0.720  -0.01
Pa1 0.000 0.500 0.864  1.01
Pa2 0.500 0.000 0.136  1.01
Er1 0.500 0.500 0.500  0.07
Er2 0.000 0.000 0.500  0.07

Summary:
- E_tot: -7.245 eV/atom
- Space-group type: P4/nmm
- Excess energy over the best structure of this formula in the dataset: 0.0 meV/atom

Computed, not measured: a relaxed ErPaAsO crystal at the GGA-PBE level of DFT.

Unit cell a=4.124 b=8.036 c=5.549 alpha=90.00 beta=90.00 gamma=90.00
Each line ends with the local moment (μB).
Sites, in units of the cell vectors:
As1 0.000 0.630 0.938  -0.02
As2 0.000 0.370 0.438  -0.02
O1 0.500 0.832 0.440  -0.02
O2 0.500 0.168 0.940  -0.02
Pa1 0.500 0.123 0.438  1.08
Pa2 0.500 0.877 0.938  1.08
Er1 0.000 0.725 0.438  0.00
Er2 0.000 0.275 0.938  0.00

Summary:
- E_tot: -7.224 eV/atom
- Space-group type: Pmc2_1
- Excess energy over the best structure of this formula in the dataset: 21.3 meV/atom

Computed, not measured: a relaxed ErAsPbO crystal at the GGA-PBE level of DFT.

Unit cell a=4.264 b=4.264 c=9.571 alpha=90.00 beta=90.00 gamma=90.00
Sites, in units of the cell vectors:
As1 0.250 0.250 0.737
As2 0.750 0.750 0.263
Er1 0.250 0.250 0.090
Er2 0.750 0.750 0.910
O1 0.750 0.250 0.000
O2 0.250 0.750 0.000
Pb1 0.750 0.250 0.500
Pb2 0.250 0.750 0.500

Summary:
- E_tot: -5.867 eV/atom
- Space-group type: P4/nmm
- Excess energy over the best structure of this formula in the dataset: 7.7 meV/atom

Computed, not measured: a relaxed ErAsPbO crystal at the GGA-PBE level of DFT.

Unit cell a=5.092 b=6.523 c=6.299 alpha=90.00 beta=90.00 gamma=90.00
Sites, in units of the cell vectors:
Er1 0.500 0.150 0.534
Er2 0.500 0.850 0.034
Pb1 0.000 0.738 0.434
Pb2 0.000 0.262 0.934
As1 0.000 0.287 0.418
As2 0.000 0.713 0.918
O1 0.500 0.130 0.868
O2 0.500 0.870 0.368

Summary:
- E_tot: -5.855 eV/atom
- Space-group type: Pmc2_1
- Excess energy over the best structure of this formula in the dataset: 20.3 meV/atom

Computed, not measured: a relaxed ErAsPbO crystal at the GGA-PBE level of DFT.

Unit cell a=3.987 b=8.407 c=6.017 alpha=90.00 beta=90.00 gamma=90.00
Sites, in units of the cell vectors:
As1 0.000 0.827 0.408
As2 0.000 0.173 0.908
O1 0.500 0.748 0.888
O2 0.500 0.252 0.388
Er1 0.000 0.839 0.924
Er2 0.000 0.161 0.424
Pb1 0.500 0.381 0.034
Pb2 0.500 0.619 0.534

Summary:
- E_tot: -5.875 eV/atom
- Space-group type: Pmc2_1
- Excess energy over the best structure of this formula in the dataset: 0.0 meV/atom

Computed, not measured: a relaxed ErAsPbO crystal at the GGA-PBE level of DFT.

Unit cell a=5.558 b=5.558 c=5.570 alpha=90.00 beta=90.00 gamma=90.00
Sites, in units of the cell vectors:
Pb1 0.750 0.750 0.991
Pb2 0.250 0.250 0.009
Er1 0.750 0.250 0.500
Er2 0.250 0.750 0.500
O1 0.750 0.250 0.000
O2 0.250 0.750 0.000
As1 0.250 0.250 0.511
As2 0.750 0.750 0.489

Summary:
- E_tot: -5.519 eV/atom
- Space-group type: P4/nmm
- Excess energy over the best structure of this formula in the dataset: 356.3 meV/atom

Computed, not measured: a relaxed PmErAsO crystal at the GGA-PBE level of DFT.

Unit cell a=4.376 b=4.376 c=8.951 alpha=90.00 beta=90.00 gamma=90.00
Sites, in units of the cell vectors:
Pm1 0.750 0.750 0.891
Pm2 0.250 0.250 0.109
Er1 0.750 0.250 0.500
Er2 0.250 0.750 0.500
O1 0.750 0.250 0.000
O2 0.250 0.750 0.000
As1 0.750 0.750 0.302
As2 0.250 0.250 0.698

Summary:
- E_tot: -6.646 eV/atom
- Space-group type: P4/nmm
- Excess energy over the best structure of this formula in the dataset: 63.3 meV/atom

Computed, not measured: a relaxed PmErAsO crystal at the GGA-PBE level of DFT.

Unit cell a=4.286 b=4.286 c=9.069 alpha=90.00 beta=90.00 gamma=90.00
Sites, in units of the cell vectors:
Pm1 0.000 0.000 0.500
Pm2 0.500 0.500 0.500
Er1 0.000 0.500 0.905
Er2 0.500 0.000 0.095
As1 0.500 0.000 0.719
As2 0.000 0.500 0.281
O1 0.500 0.500 0.000
O2 0.000 0.000 0.000

Summary:
- E_tot: -6.533 eV/atom
- Space-group type: P4/nmm
- Excess energy over the best structure of this formula in the dataset: 176.6 meV/atom

Please write out number 1 again, unchanged.
Computed, not measured: a relaxed ErPaAsO crystal at the GGA-PBE level of DFT.

Unit cell a=4.197 b=4.197 c=9.097 alpha=90.00 beta=90.00 gamma=90.00
Each line ends with the local moment (μB).
Sites, in units of the cell vectors:
O1 0.500 0.500 0.000  -0.02
O2 0.000 0.000 0.000  -0.02
As1 0.000 0.500 0.280  -0.01
As2 0.500 0.000 0.720  -0.01
Pa1 0.000 0.500 0.864  1.01
Pa2 0.500 0.000 0.136  1.01
Er1 0.500 0.500 0.500  0.07
Er2 0.000 0.000 0.500  0.07

Summary:
- E_tot: -7.245 eV/atom
- Space-group type: P4/nmm
- Excess energy over the best structure of this formula in the dataset: 0.0 meV/atom